1.
{"formula": "BC", "functional": "GGA-PBE", "state": "relaxed", "volume_a3_per_cell": 82.3, "de_polymorph_kj_per_mol_fu": 47, "delta_e_f_ev_per_atom": 0.39, "lattice_angstrom": [[3.714, 0.000, 0.000], [-1.790, 4.404, 0.000], [-0.216, -1.843, 5.035]], "species": ["B", "B", "B", "B", "B", "B", "C", "C", "C", "C", "C", "C"], "frac_coords": [[0.000, 0.000, 0.000], [0.006, 0.903, 0.473], [0.264, 0.630, 0.209], [0.333, 0.682, 0.645], [0.545, 0.593, 0.874], [0.885, 0.345, 0.616], [0.234, 0.002, 0.756], [0.240, 0.973, 0.242], [0.582, 0.613, 0.408], [0.636, 0.290, 0.326], [0.639, 0.291, 0.848], [0.873, 0.298, 0.091]]}

***

2.
{"formula": "BC", "functional": "GGA-PBE", "state": "relaxed", "volume_a3_per_cell": 82.8, "de_polymorph_kj_per_mol_fu": 37, "delta_e_f_ev_per_atom": 0.34, "lattice_angstrom": [[6.935, -1.307, 0.000], [6.935, 1.307, 0.000], [-1.236, 0.000, 4.565]], "species": ["B", "B", "B", "B", "B", "B", "C", "C", "C", "C", "C", "C"], "frac_coords": [[0.000, 0.000, 0.000], [0.163, 0.163, 0.899], [0.504, 0.504, 0.589], [0.629, 0.629, 0.361], [0.806, 0.806, 0.554], [0.934, 0.934, 0.359], [0.111, 0.111, 0.173], [0.286, 0.286, 0.031], [0.330, 0.330, 0.758], [0.445, 0.445, 0.857], [0.624, 0.624, 0.679], [0.819, 0.819, 0.218]]}

***

Q: Number 2 is which compound?
A: BC